--- w ---
Ba3LaFe: optimized geometry, PBE.

Calculated values
SG: Pm-3m
DOS(E_F), states/eV/atom: 1.31
Total magnetic moment, μB per atom: 0.295

abc: 6.163 6.163 6.163
angles: 90.00 90.00 90.00
Fractional coordinates of all 5 atoms:
Ba (0.000, 0.000, 0.500)
Ba (0.000, 0.500, 0.000)
Ba (0.500, 0.000, 0.000)
La (0.500, 0.500, 0.500)
Fe (0.000, 0.000, 0.000)

---

--- x ---
Ba3LaFe: optimized geometry, PBE.

Calculated values
SG: Pm-3m
DOS(E_F), states/eV/atom: 3.21
Total magnetic moment, μB per atom: 0.893

abc: 6.421 6.421 6.421
angles: 90.00 90.00 90.00
Fractional coordinates of all 5 atoms:
Ba (0.000, 0.000, 0.500)
Ba (0.000, 0.500, 0.000)
Ba (0.500, 0.000, 0.000)
La (0.000, 0.000, 0.000)
Fe (0.500, 0.500, 0.500)

---

Quick ranking, most stable first: w, x.